[1]
This record from Alexandria via LeMat-Bulk describes an optimized crystal structure of Hf6Al2Au. The functional is PBE.

Cell lengths 9.1379, 9.1379, 4.4153 Å; angles 90.00, 90.00, 90.00 degrees
Atoms (fractional coordinates):
Hf1 0.0200 0.3298 0.0000
Hf2 0.1433 0.8567 0.5000
Hf3 0.1702 0.5200 0.5000
Hf4 0.3298 0.0200 0.0000
Hf5 0.3567 0.3567 0.0000
Hf6 0.4800 0.8298 0.5000
Hf7 0.5200 0.1702 0.5000
Hf8 0.6433 0.6433 0.0000
Hf9 0.6702 0.9800 0.0000
Hf10 0.8298 0.4800 0.5000
Hf11 0.8567 0.1433 0.5000
Hf12 0.9800 0.6702 0.0000
Al1 0.1979 0.1979 0.5000
Al2 0.3021 0.6979 0.0000
Al3 0.6979 0.3021 0.0000
Al4 0.8021 0.8021 0.5000
Au1 0.0000 0.0000 0.0000
Au2 0.5000 0.5000 0.5000

## Properties
Its theoretical density is 11.9 g cm⁻³. For the total energy, the calculation gives -145.77 eV/cell.


[2]
This record from Alexandria via LeMat-Bulk describes an optimized crystal structure of Hf2AlAu. The functional is PBE.

Cell lengths 3.0543, 3.0543, 8.1569 Å; angles 90.00, 90.00, 90.00 degrees
Atoms (fractional coordinates):
Hf1 0.0000 0.0000 0.2479
Hf2 0.0000 0.0000 0.7521
Al1 0.5000 0.5000 0.0000
Au1 0.5000 0.5000 0.5000

## Properties
Its theoretical density is 12.7 g cm⁻³. For the total energy, the calculation gives -28.59 eV/cell.


[3]
This record from Alexandria via LeMat-Bulk describes an optimized crystal structure of Hf3AlAu. The functional is PBE.

Cell lengths 5.6612, 5.6612, 11.4242 Å; angles 93.19, 93.19, 33.13 degrees
Atoms (fractional coordinates):
Hf1 0.0704 0.0704 0.3294
Hf2 0.1473 0.1473 0.0565
Hf3 0.3626 0.3626 0.4483
Hf4 0.6374 0.6374 0.5517
Hf5 0.8527 0.8527 0.9435
Hf6 0.9296 0.9296 0.6706
Al1 0.4336 0.4336 0.1439
Al2 0.5664 0.5664 0.8561
Au1 0.2242 0.2242 0.7556
Au2 0.7758 0.7758 0.2444

## Properties
Its theoretical density is 12.6 g cm⁻³. For the total energy, the calculation gives -76.95 eV/cell.


[4]
This record from Alexandria via LeMat-Bulk describes an optimized crystal structure of HfAl2Au. The functional is PBE.

Cell lengths 5.2320, 5.2320, 5.2320 Å; angles 48.25, 48.25, 48.25 degrees
Atoms (fractional coordinates):
Hf1 0.0000 0.0000 0.0000
Al1 0.2226 0.2226 0.2226
Al2 0.7774 0.7774 0.7774
Au1 0.5000 0.5000 0.5000

## Properties
Its theoretical density is 9.8 g cm⁻³. For the total energy, the calculation gives -21.70 eV/cell.


[5]
This record from Alexandria via LeMat-Bulk describes an optimized crystal structure of HfAlAu3. The functional is PBE.

Cell lengths 5.2445, 5.2445, 5.2445 Å; angles 90.00, 90.00, 90.00 degrees
Atoms (fractional coordinates):
Hf1 0.0000 0.0000 0.0000
Al1 0.5000 0.5000 0.5000
Au1 0.0000 0.0000 0.5000
Au2 0.0000 0.5000 0.0000
Au3 0.5000 0.0000 0.0000

## Properties
Its theoretical density is 9.2 g cm⁻³. For the total energy, the calculation gives -20.22 eV/cell.


[6]
This record from Alexandria via LeMat-Bulk describes an optimized crystal structure of Hf3Al3Au2. The functional is PBE.

Cell lengths 5.5601, 5.5601, 13.7905 Å; angles 90.00, 90.00, 135.61 degrees
Atoms (fractional coordinates):
Hf1 0.0691 0.9309 0.6180
Hf2 0.0691 0.9309 0.8820
Hf3 0.3440 0.6560 0.7500
Hf4 0.6560 0.3440 0.2500
Hf5 0.9309 0.0691 0.1180
Hf6 0.9309 0.0691 0.3820
Al1 0.3795 0.6205 0.2500
Al2 0.3875 0.6125 0.5388
Al3 0.3875 0.6125 0.9612
Al4 0.6125 0.3875 0.0388
Al5 0.6125 0.3875 0.4612
Al6 0.6205 0.3795 0.7500
Au1 0.2182 0.7818 0.1057
Au2 0.2182 0.7818 0.3943
Au3 0.7818 0.2182 0.6057
Au4 0.7818 0.2182 0.8943

## Properties
Its theoretical density is 11.3 g cm⁻³. For the total energy, the calculation gives -103.18 eV/cell.


[7]
This record from Alexandria via LeMat-Bulk describes an optimized crystal structure of Hf6Al3Au. The functional is PBE.

Cell lengths 8.5641, 8.5641, 5.7863 Å; angles 90.00, 90.00, 101.61 degrees
Atoms (fractional coordinates):
Hf1 0.0617 0.4666 0.1047
Hf2 0.0725 0.9275 0.5000
Hf3 0.2423 0.3083 0.7734
Hf4 0.3034 0.6966 0.7218
Hf5 0.3083 0.2423 0.2734
Hf6 0.4666 0.0617 0.6047
Hf7 0.5334 0.9383 0.1047
Hf8 0.6917 0.7577 0.7734
Hf9 0.6966 0.3034 0.2218
Hf10 0.7577 0.6917 0.2734
Hf11 0.9275 0.0725 0.0000
Hf12 0.9383 0.5334 0.6047
Al1 0.0052 0.7645 0.9470
Al2 0.2355 0.9948 0.9470
Al3 0.4514 0.5486 0.0811
Al4 0.5486 0.4514 0.5811
Al5 0.7645 0.0052 0.4470
Al6 0.9948 0.2355 0.4470
Au1 0.2480 0.7520 0.2580
Au2 0.7520 0.2480 0.7580

## Properties
Its theoretical density is 10.8 g cm⁻³. For the total energy, the calculation gives -151.82 eV/cell.


[8]
This record from Alexandria via LeMat-Bulk describes an optimized crystal structure of HfAlAu3. The functional is PBE.

Cell lengths 4.7161, 4.7161, 4.7161 Å; angles 90.00, 90.00, 90.00 degrees
Atoms (fractional coordinates):
Hf1 0.0000 0.0000 0.0000
Al1 0.5000 0.5000 0.5000
Au1 0.0000 0.5000 0.5000
Au2 0.5000 0.0000 0.5000
Au3 0.5000 0.5000 0.0000

## Properties
Its theoretical density is 12.6 g cm⁻³. For the total energy, the calculation gives -22.26 eV/cell.


[9]
This record from Alexandria via LeMat-Bulk describes an optimized crystal structure of Hf2AlAu. The functional is PBE.

Cell lengths 10.5555, 10.5555, 10.5555 Å; angles 157.77, 157.77, 31.64 degrees
Atoms (fractional coordinates):
Hf1 0.1217 0.6250 0.9967
Hf2 0.3750 0.3717 0.4967
Hf3 0.6283 0.1250 0.0033
Hf4 0.8750 0.8783 0.5033
Al1 0.0000 0.0000 0.0000
Al2 0.7500 0.2500 0.5000
Au1 0.2500 0.7500 0.5000
Au2 0.5000 0.5000 0.0000

## Properties
Its theoretical density is 11.5 g cm⁻³. For the total energy, the calculation gives -52.31 eV/cell.


[10]
This record from Alexandria via LeMat-Bulk describes an optimized crystal structure of HfAlIrAu. The functional is PBE.

Cell lengths 4.5852, 4.5852, 4.5852 Å; angles 60.00, 60.00, 60.00 degrees
Atoms (fractional coordinates):
Hf1 0.0000 0.0000 0.0000
Al1 0.5000 0.5000 0.5000
Ir1 0.7500 0.7500 0.7500
Au1 0.2500 0.2500 0.2500

## Properties
Its theoretical density is 14.5 g cm⁻³. For the total energy, the calculation gives -28.37 eV/cell.


[11]
This record from Alexandria via LeMat-Bulk describes an optimized crystal structure of HfNbAl2Au. The functional is PBE.

Cell lengths 4.6442, 4.6442, 5.2123 Å; angles 90.00, 90.00, 90.00 degrees
Atoms (fractional coordinates):
Hf1 0.0000 0.0000 0.0000
Nb1 0.5000 0.5000 0.0000
Al1 0.0000 0.5000 0.5000
Al2 0.5000 0.0000 0.5000
Au1 0.0000 0.0000 0.5000

## Properties
Its theoretical density is 7.7 g cm⁻³. For the total energy, the calculation gives -27.40 eV/cell.


[12]
This record from Alexandria via LeMat-Bulk describes an optimized crystal structure of HfNb2AlAu. The functional is PBE.

Cell lengths 4.9750, 4.9750, 5.0341 Å; angles 90.00, 90.00, 90.00 degrees
Atoms (fractional coordinates):
Hf1 0.0000 0.0000 0.0000
Nb1 0.0000 0.5000 0.5000
Nb2 0.5000 0.0000 0.5000
Al1 0.5000 0.5000 0.0000
Au1 0.0000 0.0000 0.5000

## Properties
Its theoretical density is 7.8 g cm⁻³. For the total energy, the calculation gives -31.21 eV/cell.


[13]
This record from Alexandria via LeMat-Bulk describes an optimized crystal structure of Nd2HfAl4Au3. The functional is PBE.

Cell lengths 4.3207, 4.3207, 11.3747 Å; angles 90.00, 90.00, 90.00 degrees
Atoms (fractional coordinates):
Nd1 0.0000 0.5000 0.2454
Nd2 0.5000 0.0000 0.7546
Hf1 0.0000 0.0000 0.5000
Al1 0.0000 0.0000 0.0000
Al2 0.0000 0.5000 0.6522
Al3 0.5000 0.0000 0.3478
Al4 0.5000 0.5000 0.0000
Au1 0.0000 0.5000 0.8739
Au2 0.5000 0.0000 0.1261
Au3 0.5000 0.5000 0.5000

## Properties
Its theoretical density is 9.1 g cm⁻³. For the total energy, the calculation gives -50.39 eV/cell.


[14]
This record from Alexandria via LeMat-Bulk describes an optimized crystal structure of HfAl2NiAu. The functional is PBE.

Cell lengths 5.2363, 5.2363, 4.5101 Å; angles 90.00, 90.00, 90.00 degrees
Atoms (fractional coordinates):
Hf1 0.0000 0.0000 0.0000
Al1 0.0000 0.5000 0.0000
Al2 0.5000 0.0000 0.0000
Ni1 0.0000 0.0000 0.5000
Au1 0.5000 0.5000 0.5000

## Properties
Its theoretical density is 6.6 g cm⁻³. For the total energy, the calculation gives -20.80 eV/cell.


[15]
This record from Alexandria via LeMat-Bulk describes an optimized crystal structure of HfAl2PAu. The functional is PBE.

Cell lengths 4.6706, 4.6706, 5.1484 Å; angles 90.00, 90.00, 90.00 degrees
Atoms (fractional coordinates):
Hf1 0.0000 0.0000 0.0000
Al1 0.0000 0.5000 0.5000
Al2 0.5000 0.0000 0.5000
P1 0.5000 0.5000 0.0000
Au1 0.5000 0.5000 0.5000

## Properties
Its theoretical density is 6.8 g cm⁻³. For the total energy, the calculation gives -22.78 eV/cell.


[16]
This record from Alexandria via LeMat-Bulk describes an optimized crystal structure of HfAlPAu2. The functional is PBE.

Cell lengths 4.6085, 4.6085, 5.2540 Å; angles 90.00, 90.00, 90.00 degrees
Atoms (fractional coordinates):
Hf1 0.0000 0.0000 0.0000
Al1 0.0000 0.0000 0.5000
P1 0.5000 0.5000 0.0000
Au1 0.0000 0.5000 0.5000
Au2 0.5000 0.0000 0.5000

## Properties
Its theoretical density is 9.4 g cm⁻³. For the total energy, the calculation gives -22.58 eV/cell.


[17]
This record from Alexandria via LeMat-Bulk describes an optimized crystal structure of HfAlPdAu. The functional is PBE.

Cell lengths 4.6093, 4.6093, 4.6093 Å; angles 60.00, 60.00, 60.00 degrees
Atoms (fractional coordinates):
Hf1 0.0000 0.0000 0.0000
Al1 0.5000 0.5000 0.5000
Pd1 0.2500 0.2500 0.2500
Au1 0.7500 0.7500 0.7500

## Properties
Its theoretical density is 12.2 g cm⁻³. For the total energy, the calculation gives -24.86 eV/cell.


[18]
This record from Alexandria via LeMat-Bulk describes an optimized crystal structure of HfAlRuAu. The functional is PBE.

Cell lengths 4.5587, 4.5587, 4.5587 Å; angles 60.00, 60.00, 60.00 degrees
Atoms (fractional coordinates):
Hf1 0.0000 0.0000 0.0000
Al1 0.5000 0.5000 0.5000
Ru1 0.7500 0.7500 0.7500
Au1 0.2500 0.2500 0.2500

## Properties
Its theoretical density is 12.5 g cm⁻³. For the total energy, the calculation gives -28.20 eV/cell.


[19]
This record from Alexandria via LeMat-Bulk describes an optimized crystal structure of HfAlSbAu2. The functional is PBE.

Cell lengths 5.1323, 5.1323, 5.3184 Å; angles 90.00, 90.00, 90.00 degrees
Atoms (fractional coordinates):
Hf1 0.0000 0.0000 0.0000
Al1 0.0000 0.0000 0.5000
Sb1 0.5000 0.5000 0.5000
Au1 0.0000 0.5000 0.0000
Au2 0.5000 0.0000 0.0000

## Properties
As for the uncorrected formation energy: 0.732 eV per atom. Its theoretical density is 8.5 g cm⁻³.


[20]
This record from Alexandria via LeMat-Bulk describes an optimized crystal structure of HfScAlAu. The functional is PBE.

Cell lengths 4.8108, 4.8108, 4.8108 Å; angles 60.00, 60.00, 60.00 degrees
Atoms (fractional coordinates):
Hf1 0.0000 0.0000 0.0000
Sc1 0.5000 0.5000 0.5000
Al1 0.7500 0.7500 0.7500
Au1 0.2500 0.2500 0.2500

## Properties
Its theoretical density is 9.4 g cm⁻³. For the total energy, the calculation gives -24.94 eV/cell.